# PBE-GGA K4Ac3HgO8, relaxed
data_K4Ac3HgO8
_chemical_formula_sum 'K8 Ac6 Hg2 O16'
_cell_length_a 13.510
_cell_length_b 7.400
_cell_length_c 7.577
_cell_angle_alpha 90.00
_cell_angle_beta 122.22
_cell_angle_gamma 90.00
_space_group_name_H-M_alt 'C 1 2/m 1'
_space_group_IT_number 12
loop_
_space_group_symop_operation_xyz
'x,y,z'
'-x,-y,-z'
'-x,y,-z'
'x,-y,z'
'x+1/2,y+1/2,z'
'-x+1/2,-y+1/2,-z'
'-x+1/2,y+1/2,-z'
'x+1/2,-y+1/2,z'
loop_
_atom_site_label
_atom_site_type_symbol
_atom_site_fract_x
_atom_site_fract_y
_atom_site_fract_z
_atom_site_occupancy
K1 K 0.000 0.000 0.000 1
K2 K 0.000 0.500 0.000 1
K3 K 0.250 0.250 0.000 1
Ac1 Ac 0.000 0.000 0.500 1
Ac2 Ac 0.250 0.250 0.500 1
Hg1 Hg 0.000 0.500 0.500 1
O1 O 0.022 0.270 0.313 1
O2 O 0.221 0.000 0.694 1
O3 O 0.227 0.000 0.267 1
# Total moment: 0.068 μB per atom
# Uncorrected energy: -5.588 eV per atom
# Uncorrected formation energy: -2.0458 eV per atom
# Theoretical density: 6.04 g/cm3